Entry 1:
{
  "formula": "Nd2LuZr",
  "functional": "GGA-PBE",
  "state": "relaxed",
  "lattice_angstrom": [[4.9355, 0.0000, 0.0000], [0.0000, 4.9355, 0.0000], [0.0000, 0.0000, 4.9071]],
  "species": ["Nd", "Nd", "Lu", "Zr"],
  "fractional_positions": [[0.0000, 0.5000, 0.0000], [0.5000, 0.0000, 0.0000], [0.0000, 0.0000, 0.5000], [0.5000, 0.5000, 0.5000]],
  "volume_a3_per_atom": 29.88,
  "ef_mev_per_atom": 118.7,
  "relative_energy_kj_per_mol_fu": 0,
  "energy_ev_per_cell": -22.1
}



Entry 2:
{
  "formula": "NdLuZr",
  "functional": "GGA-PBE",
  "state": "relaxed",
  "lattice_angstrom": [[3.4252, 0.0000, 0.0000], [-1.7126, 2.9663, 0.0000], [0.0000, 0.0000, 8.4227]],
  "species": ["Nd", "Lu", "Zr"],
  "fractional_positions": [[0.0000, 0.0000, 0.0000], [0.3333, 0.6667, 0.6310], [0.6667, 0.3333, 0.3229]],
  "volume_a3_per_atom": 28.52,
  "ef_mev_per_atom": 104.6,
  "energy_ev_per_cell": -17.5
}



Entry 3:
{
  "formula": "Nd2LuZr",
  "functional": "GGA-PBE",
  "state": "relaxed",
  "lattice_angstrom": [[1.6976, 0.9801, 12.1115], [-1.6976, 0.9801, 12.1115], [0.0000, -1.9603, 12.1115]],
  "species": ["Nd", "Nd", "Lu", "Zr"],
  "fractional_positions": [[0.0862, 0.0862, 0.0862], [0.9138, 0.9138, 0.9138], [0.5000, 0.5000, 0.5000], [0.0000, 0.0000, 0.0000]],
  "volume_a3_per_atom": 30.23,
  "ef_mev_per_atom": 305.4,
  "relative_energy_kj_per_mol_fu": 72,
  "energy_ev_per_cell": -21.4
}



Entry 4:
{
  "formula": "Lu3Ni",
  "functional": "GGA-PBE",
  "state": "relaxed",
  "lattice_angstrom": [[-1.7371, 2.5779, 5.3128], [1.7371, -2.5779, 5.3128], [1.7371, 2.5779, -5.3128]],
  "species": ["Lu", "Lu", "Lu", "Ni"],
  "fractional_positions": [[0.0000, 0.0000, 0.0000], [0.3038, 0.8038, 0.5000], [0.6962, 0.1962, 0.5000], [0.5000, 0.5000, 0.0000]],
  "volume_a3_per_atom": 23.79,
  "ef_mev_per_atom": -214.0,
  "energy_ev_per_cell": -20.2
}



Entry 5:
{
  "formula": "Lu2Ni17",
  "functional": "GGA-PBE",
  "state": "relaxed",
  "lattice_angstrom": [[8.2421, 0.0000, 0.0000], [-4.1211, 7.1379, 0.0000], [0.0000, 0.0000, 7.9925]],
  "species": ["Lu", "Lu", "Lu", "Lu", "Ni", "Ni", "Ni", "Ni", "Ni", "Ni", "Ni", "Ni", "Ni", "Ni", "Ni", "Ni", "Ni", "Ni", "Ni", "Ni", "Ni", "Ni", "Ni", "Ni", "Ni", "Ni", "Ni", "Ni", "Ni", "Ni", "Ni", "Ni", "Ni", "Ni", "Ni", "Ni", "Ni", "Ni"],
  "fractional_positions": [[0.0000, 0.0000, 0.2500], [0.0000, 0.0000, 0.7500], [0.3333, 0.6667, 0.2500], [0.6667, 0.3333, 0.7500], [0.0000, 0.5000, 0.0000], [0.0000, 0.5000, 0.5000], [0.0416, 0.3690, 0.7500], [0.0416, 0.6725, 0.7500], [0.1652, 0.3304, 0.0221], [0.1652, 0.3304, 0.4779], [0.1652, 0.8348, 0.0221], [0.1652, 0.8348, 0.4779], [0.3275, 0.3690, 0.7500], [0.3275, 0.9584, 0.7500], [0.3304, 0.1652, 0.5221], [0.3304, 0.1652, 0.9779], [0.3333, 0.6667, 0.6007], [0.3333, 0.6667, 0.8993], [0.3690, 0.0416, 0.2500], [0.3690, 0.3275, 0.2500], [0.5000, 0.0000, 0.0000], [0.5000, 0.0000, 0.5000], [0.5000, 0.5000, 0.0000], [0.5000, 0.5000, 0.5000], [0.6310, 0.6725, 0.7500], [0.6310, 0.9584, 0.7500], [0.6667, 0.3333, 0.1007], [0.6667, 0.3333, 0.3993], [0.6696, 0.8348, 0.0221], [0.6696, 0.8348, 0.4779], [0.6725, 0.0416, 0.2500], [0.6725, 0.6310, 0.2500], [0.8348, 0.1652, 0.5221], [0.8348, 0.1652, 0.9779], [0.8348, 0.6696, 0.5221], [0.8348, 0.6696, 0.9779], [0.9584, 0.3275, 0.2500], [0.9584, 0.6310, 0.2500]],
  "volume_a3_per_atom": 12.37,
  "ef_mev_per_atom": -208.1,
  "energy_ev_per_cell": -222.6
}



Entry 6:
{
  "formula": "LuNi",
  "functional": "GGA-PBE",
  "state": "relaxed",
  "lattice_angstrom": [[6.8444, 0.0000, 0.0000], [0.0000, 4.1224, 0.0000], [0.0000, 0.0000, 5.3160]],
  "species": ["Lu", "Lu", "Lu", "Lu", "Ni", "Ni", "Ni", "Ni"],
  "fractional_positions": [[0.1800, 0.2500, 0.1339], [0.3200, 0.7500, 0.6339], [0.6800, 0.2500, 0.3661], [0.8200, 0.7500, 0.8661], [0.0368, 0.2500, 0.6291], [0.4632, 0.7500, 0.1291], [0.5368, 0.2500, 0.8709], [0.9632, 0.7500, 0.3709]],
  "volume_a3_per_atom": 18.75,
  "ef_mev_per_atom": -524.6,
  "energy_ev_per_cell": -45.4
}



Entry 7:
{
  "formula": "Lu3Ni",
  "functional": "GGA-PBE",
  "state": "relaxed",
  "lattice_angstrom": [[3.3717, 0.0000, 0.0000], [0.0000, 3.4672, 0.0000], [0.0000, 0.0000, 8.8236]],
  "species": ["Lu", "Lu", "Lu", "Ni"],
  "fractional_positions": [[0.0000, 0.0000, 0.0000], [0.0000, 0.5000, 0.3442], [0.5000, 0.5000, 0.7142], [0.5000, 0.0000, 0.4812]],
  "volume_a3_per_atom": 25.79,
  "ef_mev_per_atom": -18.6,
  "energy_ev_per_cell": -19.4
}



Entry 8:
{
  "formula": "LuNi2",
  "functional": "GGA-PBE",
  "state": "relaxed",
  "lattice_angstrom": [[-1.6258, 1.6258, 4.3626], [1.6258, -1.6258, 4.3626], [1.6258, 1.6258, -4.3626]],
  "species": ["Lu", "Ni", "Ni"],
  "fractional_positions": [[0.0000, 0.0000, 0.0000], [0.3174, 0.3174, 0.0000], [0.6826, 0.6826, 0.0000]],
  "volume_a3_per_atom": 15.38,
  "ef_mev_per_atom": -247.0,
  "energy_ev_per_cell": -16.8
}



Entry 9:
{
  "formula": "LuNi2",
  "functional": "GGA-PBE",
  "state": "relaxed",
  "lattice_angstrom": [[0.0000, 3.5336, 3.5336], [3.5336, 0.0000, 3.5336], [3.5336, 3.5336, 0.0000]],
  "species": ["Lu", "Lu", "Ni", "Ni", "Ni", "Ni"],
  "fractional_positions": [[0.1250, 0.1250, 0.1250], [0.8750, 0.8750, 0.8750], [0.0000, 0.5000, 0.5000], [0.5000, 0.0000, 0.5000], [0.5000, 0.5000, 0.0000], [0.5000, 0.5000, 0.5000]],
  "volume_a3_per_atom": 14.71,
  "ef_mev_per_atom": -517.8,
  "energy_ev_per_cell": -35.3
}



Entry 10:
{
  "formula": "Lu4Ni",
  "functional": "GGA-PBE",
  "state": "relaxed",
  "lattice_angstrom": [[0.0000, 5.2133, 5.2133], [5.2133, 0.0000, 5.2133], [5.2133, 5.2133, 0.0000]],
  "species": ["Lu", "Lu", "Lu", "Lu", "Lu", "Lu", "Lu", "Lu", "Ni", "Ni"],
  "fractional_positions": [[0.2137, 0.7621, 0.7621], [0.2379, 0.2379, 0.2379], [0.2379, 0.2379, 0.7863], [0.2379, 0.7863, 0.2379], [0.7621, 0.2137, 0.7621], [0.7621, 0.7621, 0.2137], [0.7621, 0.7621, 0.7621], [0.7863, 0.2379, 0.2379], [0.3750, 0.3750, 0.3750], [0.6250, 0.6250, 0.6250]],
  "volume_a3_per_atom": 28.34,
  "ef_mev_per_atom": 240.9,
  "energy_ev_per_cell": -45.3
}



Entry 11:
{
  "formula": "LuNpNiOs",
  "functional": "GGA-PBE",
  "state": "relaxed",
  "lattice_angstrom": [[0.0000, 3.3443, 3.3443], [3.3443, 0.0000, 3.3443], [3.3443, 3.3443, 0.0000]],
  "species": ["Lu", "Np", "Ni", "Os"],
  "fractional_positions": [[0.0000, 0.0000, 0.0000], [0.5000, 0.5000, 0.5000], [0.2500, 0.2500, 0.2500], [0.7500, 0.7500, 0.7500]],
  "volume_a3_per_atom": 18.70,
  "ef_mev_per_atom": -106.1,
  "energy_ev_per_cell": -34.9
}